Material: Co3TcHg
Method: DFT, PBE
State: relaxed

a b c (Å): 4.6823 4.6823 4.6823
angles (deg): 90.00 90.00 90.00
Last column: nearest neighbours and their distance in Å.
Positions (direct):
Co  0.0000  0.0000  0.5000  2 Hg 2.34
Co  0.0000  0.5000  0.0000  2 Hg 2.34
Co  0.5000  0.0000  0.0000  2 Hg 2.34
Tc  0.5000  0.5000  0.5000  12 Co 3.31
Hg  0.0000  0.0000  0.0000  6 Co 2.34

Calculated values
crystal system = cubic
ΔE_f = 2106 meV per atom
E above lowest polymorph = 3.77 eV per formula unit
V = 20.53 A^3/atom

Material: Co2TcHg
Method: DFT, PBE
State: relaxed

a b c (Å): 3.0432 3.0432 6.1966
angles (deg): 90.00 90.00 90.00
Last column: nearest neighbours and their distance in Å.
Positions (direct):
Co  0.0000  0.0000  0.2130  4 Tc 2.52, 1 Co 2.64, 4 Hg 2.79
Co  0.0000  0.0000  0.7870  4 Tc 2.52, 1 Co 2.64, 4 Hg 2.79
Tc  0.5000  0.5000  0.0000  8 Co 2.52
Hg  0.5000  0.5000  0.5000  8 Co 2.79, 4 Hg 3.04, 2 Tc 3.10

Calculated values
crystal system = tetragonal
ΔE_f = 336 meV per atom
V = 14.35 A^3/atom

Material: CoTcHg4
Method: DFT, PBE
State: relaxed

a b c (Å): 5.6091 5.6091 5.6091
angles (deg): 60.00 60.00 60.00
Last column: nearest neighbours and their distance in Å.
Positions (direct):
Co  0.0000  0.0000  0.0000  12 Hg 3.29, 4 Tc 3.43
Tc  0.2500  0.2500  0.2500  12 Hg 3.29, 4 Co 3.43
Hg  0.1248  0.6251  0.6251  6 Hg 2.80-2.81
Hg  0.6251  0.1248  0.6251  6 Hg 2.80-2.81
Hg  0.6251  0.6251  0.1248  6 Hg 2.80-2.81
Hg  0.6251  0.6251  0.6251  6 Hg 2.80-2.81

Calculated values
crystal system = cubic
ΔE_f = 1004 meV per atom
V = 20.80 A^3/atom

Material: Co3TcHg
Method: DFT, PBE
State: relaxed

a b c (Å): 4.4195 4.4195 4.4195
angles (deg): 90.00 90.00 90.00
Last column: nearest neighbours and their distance in Å.
Positions (direct):
Co  0.0000  0.0000  0.5000  2 Tc 2.21
Co  0.0000  0.5000  0.0000  2 Tc 2.21
Co  0.5000  0.0000  0.0000  2 Tc 2.21
Tc  0.0000  0.0000  0.0000  6 Co 2.21
Hg  0.5000  0.5000  0.5000  12 Co 3.13

Calculated values
crystal system = cubic
ΔE_f = 1352 meV per atom
E above lowest polymorph = 0.00 eV per formula unit
V = 17.26 A^3/atom

Material: Co2TcHg
Method: DFT, PBE
State: relaxed

a b c (Å): 2.7717 2.7717 26.0259
angles (deg): 90.00 90.00 120.00
Last column: nearest neighbours and their distance in Å.
Positions (direct):
Co  0.0000  0.0000  0.2427  3 Tc 2.55, 6 Co 2.77, 3 Hg 2.85
Co  0.0000  0.0000  0.7573  3 Tc 2.55, 6 Co 2.77, 3 Hg 2.85
Co  0.3333  0.6667  0.4239  3 Tc 2.55, 6 Co 2.77, 3 Hg 2.85
Co  0.3333  0.6667  0.9094  3 Tc 2.55, 6 Co 2.77, 3 Hg 2.85
Co  0.6667  0.3333  0.0906  3 Tc 2.55, 6 Co 2.77, 3 Hg 2.85
Co  0.6667  0.3333  0.5761  3 Tc 2.55, 6 Co 2.77, 3 Hg 2.85
Tc  0.0000  0.0000  0.5000  6 Co 2.55, 6 Tc 2.77
Tc  0.3333  0.6667  0.1667  6 Co 2.55, 6 Tc 2.77
Tc  0.6667  0.3333  0.8333  6 Co 2.55, 6 Tc 2.77
Hg  0.0000  0.0000  0.0000  6 Hg 2.77, 6 Co 2.85
Hg  0.3333  0.6667  0.6667  6 Hg 2.77, 6 Co 2.85
Hg  0.6667  0.3333  0.3333  6 Hg 2.77, 6 Co 2.85

Calculated values
crystal system = trigonal
ΔE_f = 413 meV per atom
V = 14.43 A^3/atom

Material: Co2TcHg
Method: DFT, PBE
State: relaxed

a b c (Å): 2.7727 2.7727 26.2568
angles (deg): 90.00 90.00 120.00
Last column: nearest neighbours and their distance in Å.
Positions (direct):
Co  0.0000  0.0000  0.0000  3 Co 2.45, 3 Tc 2.55
Co  0.0000  0.0000  0.2628  3 Co 2.45
Co  0.3333  0.6667  0.6667  3 Co 2.45, 3 Tc 2.55
Co  0.3333  0.6667  0.9294  3 Co 2.45
Co  0.6667  0.3333  0.3333  3 Co 2.45, 3 Tc 2.55
Co  0.6667  0.3333  0.5961  3 Co 2.45
Tc  0.0000  0.0000  0.7422  3 Co 2.55, 6 Tc 2.77
Tc  0.3333  0.6667  0.4089  3 Co 2.55, 6 Tc 2.77
Tc  0.6667  0.3333  0.0755  3 Co 2.55, 6 Tc 2.77
Hg  0.0000  0.0000  0.5060  6 Hg 2.77, 3 Co 2.86, 3 Tc 3.01
Hg  0.3333  0.6667  0.1727  6 Hg 2.77, 3 Co 2.86, 3 Tc 3.01
Hg  0.6667  0.3333  0.8394  6 Hg 2.77, 3 Co 2.86, 3 Tc 3.01

Calculated values
crystal system = trigonal
ΔE_f = 470 meV per atom
V = 14.57 A^3/atom

Material: Zr2CoTcHg
Method: DFT, PBE
State: relaxed

a b c (Å): 5.1836 5.1836 4.8599
angles (deg): 90.00 90.00 90.00
Last column: nearest neighbours and their distance in Å.
Positions (direct):
Zr  0.0000  0.5000  0.0000  2 Hg 2.59
Zr  0.5000  0.0000  0.0000  2 Hg 2.59
Co  0.0000  0.0000  0.5000  8 Zr 3.55, 4 Tc 3.67
Tc  0.5000  0.5000  0.5000  2 Hg 2.43
Hg  0.5000  0.5000  0.0000  2 Tc 2.43, 4 Zr 2.59

Calculated values
crystal system = tetragonal
ΔE_f = 1995 meV per atom
V = 26.12 A^3/atom

Material: CoHg2Te
Method: DFT, PBE
State: relaxed

a b c (Å): 5.7152 11.0981 4.0238
angles (deg): 90.00 134.45 90.00
Last column: nearest neighbours and their distance in Å.
Positions (direct):
Co  0.0000  0.0000  0.0000  4 Te 2.86-2.87, 4 Hg 3.12
Co  0.5000  0.5000  0.0000  4 Te 2.86-2.87, 4 Hg 3.12
Hg  0.2500  0.2500  0.0000  4 Hg 2.86-2.87, 2 Co 3.12, 2 Te 3.12
Hg  0.2500  0.7500  0.0000  4 Hg 2.86-2.87, 2 Te 3.12, 2 Co 3.12
Hg  0.7500  0.2500  0.0000  4 Hg 2.86-2.87, 2 Co 3.12, 2 Te 3.12
Hg  0.7500  0.7500  0.0000  4 Hg 2.86-2.87, 2 Co 3.12, 2 Te 3.12
Te  0.0000  0.5000  0.0000  4 Co 2.86-2.87, 4 Hg 3.12
Te  0.5000  0.0000  0.0000  4 Co 2.86-2.87, 4 Hg 3.12

Calculated values
crystal system = monoclinic
formation energy (no corrections) = 9.78 kcal/mol of atoms
V = 22.77 A^3/atom

Material: CoHg2Te
Method: DFT, PBE
State: relaxed

a b c (Å): 3.9281 3.9281 6.4310
angles (deg): 90.00 90.00 90.00
Last column: nearest neighbours and their distance in Å.
Positions (direct):
Co  0.0000  0.0000  0.0000  4 Te 2.78
Hg  0.0000  0.5000  0.5000  4 Hg 2.78
Hg  0.5000  0.0000  0.5000  4 Hg 2.78
Te  0.5000  0.5000  0.0000  4 Co 2.78

Calculated values
crystal system = tetragonal
formation energy (no corrections) = 10.48 kcal/mol of atoms
V = 24.81 A^3/atom

Material: Co3HgTe
Method: DFT, PBE
State: relaxed

a b c (Å): 4.6943 4.6943 4.6943
angles (deg): 90.00 90.00 90.00
Last column: nearest neighbours and their distance in Å.
Positions (direct):
Co  0.0000  0.0000  0.5000  2 Te 2.35
Co  0.0000  0.5000  0.0000  2 Te 2.35
Co  0.5000  0.0000  0.0000  2 Te 2.35
Hg  0.5000  0.5000  0.5000  12 Co 3.32
Te  0.0000  0.0000  0.0000  6 Co 2.35

Calculated values
crystal system = cubic
E above lowest polymorph = 0.00 eV per formula unit
formation energy (no corrections) = 23.46 kcal/mol of atoms
V = 20.69 A^3/atom

Material: Co4HgTe
Method: DFT, PBE
State: relaxed

a b c (Å): 5.0155 5.0155 5.0155
angles (deg): 60.00 60.00 60.00
Last column: nearest neighbours and their distance in Å.
Positions (direct):
Co  0.1249  0.1249  0.1249  6 Co 2.51
Co  0.1249  0.1249  0.6253  6 Co 2.51
Co  0.1249  0.6253  0.1249  6 Co 2.51
Co  0.6253  0.1249  0.1249  6 Co 2.51
Hg  0.7500  0.7500  0.7500  12 Co 2.94, 4 Te 3.07
Te  0.5000  0.5000  0.5000  12 Co 2.94, 4 Hg 3.07

Calculated values
crystal system = cubic
formation energy (no corrections) = 10.11 kcal/mol of atoms
V = 14.87 A^3/atom

Material: CoHg2Te
Method: DFT, PBE
State: relaxed

a b c (Å): 5.5935 7.6465 4.3363
angles (deg): 90.00 90.00 90.00
Last column: nearest neighbours and their distance in Å.
Positions (direct):
Co  0.0000  0.0000  0.0000  4 Hg 2.67, 2 Te 2.80
Co  0.5000  0.5000  0.0000  4 Hg 2.67, 2 Te 2.80
Hg  0.0000  0.2045  0.5000  2 Co 2.67, 2 Hg 2.88
Hg  0.0000  0.7955  0.5000  2 Co 2.67, 2 Hg 2.88
Hg  0.5000  0.2955  0.5000  2 Co 2.67, 2 Hg 2.88
Hg  0.5000  0.7045  0.5000  2 Co 2.67, 2 Hg 2.88
Te  0.0000  0.5000  0.0000  2 Co 2.80, 4 Hg 3.13
Te  0.5000  0.0000  0.0000  2 Co 2.80, 4 Hg 3.13

Calculated values
crystal system = orthorhombic
formation energy (no corrections) = 8.58 kcal/mol of atoms
V = 23.18 A^3/atom

Material: CoHg2Te
Method: DFT, PBE
State: relaxed

a b c (Å): 9.3514 9.3514 4.7424
angles (deg): 90.00 90.00 90.00
Last column: nearest neighbours and their distance in Å.
Positions (direct):
Co  0.0000  0.0000  0.0000  2 Te 2.37
Co  0.0000  0.5000  0.2500  2 Te 2.37
Co  0.5000  0.0000  0.7500  2 Te 2.37
Co  0.5000  0.5000  0.5000  2 Te 2.37
Hg  0.1378  0.2500  0.1250  2 Co 2.73
Hg  0.2500  0.6378  0.3750  2 Co 2.73
Hg  0.2500  0.8622  0.8750  2 Co 2.73
Hg  0.3622  0.2500  0.6250  2 Co 2.73
Hg  0.6378  0.7500  0.6250  2 Co 2.73
Hg  0.7500  0.1378  0.8750  2 Co 2.73
Hg  0.7500  0.3622  0.3750  2 Co 2.73
Hg  0.8622  0.7500  0.1250  2 Co 2.73
Te  0.0000  0.0000  0.5000  2 Co 2.37
Te  0.0000  0.5000  0.7500  2 Co 2.37
Te  0.5000  0.0000  0.2500  2 Co 2.37
Te  0.5000  0.5000  0.0000  2 Co 2.37

Calculated values
crystal system = tetragonal
formation energy (no corrections) = 7.30 kcal/mol of atoms
V = 25.92 A^3/atom

Material: CoHg2Te
Method: DFT, PBE
State: relaxed

a b c (Å): 3.4329 5.0974 11.4193
angles (deg): 90.00 90.00 90.00
Last column: nearest neighbours and their distance in Å.
Positions (direct):
Co  0.0000  0.0000  0.0000  2 Te 2.42, 4 Hg 2.58-2.69
Co  0.0000  0.5000  0.5000  2 Te 2.42, 4 Hg 2.58-2.69
Hg  0.0000  0.0000  0.5351  2 Co 2.58
Hg  0.0000  0.5000  0.0351  2 Co 2.58
Hg  0.5000  0.0000  0.1814  2 Co 2.69
Hg  0.5000  0.5000  0.6814  2 Co 2.69
Te  0.5000  0.0000  0.8505  2 Co 2.42
Te  0.5000  0.5000  0.3505  2 Co 2.42

Calculated values
crystal system = orthorhombic
formation energy (no corrections) = 2.79 kcal/mol of atoms
V = 24.98 A^3/atom